Record 1
YEr6In: optimized geometry, PBE.

## Properties
Formation enthalpy at 0 K (eV per atom): 0.00
Total moment (Bohr magnetons per cell): 0.0
DOS(E_F) (states/eV/f.u.): 11.3

a b c (Å): 6.2488 6.2488 6.2488
angles (deg): 93.84 93.84 93.84
Closest atoms and distances in Å follow each position.
Fractional coordinates of all 8 atoms:
Y 0.0000 0.0000 0.0000  12 Er 3.43-3.60
Er 0.0395 0.2583 0.5359  2 Er 3.15-3.23, 1 In 3.19, 1 Y 3.43
Er 0.2583 0.5359 0.0395  2 Er 3.15-3.23, 1 In 3.19, 1 Y 3.43
Er 0.4641 0.9605 0.7417  2 Er 3.15-3.23, 1 In 3.19, 1 Y 3.43
Er 0.5359 0.0395 0.2583  2 Er 3.15-3.23, 1 In 3.19, 1 Y 3.43
Er 0.7417 0.4641 0.9605  2 Er 3.15-3.23, 1 In 3.19, 1 Y 3.43
Er 0.9605 0.7417 0.4641  2 Er 3.15-3.23, 1 In 3.19, 1 Y 3.43
In 0.5000 0.5000 0.5000  6 Er 3.19

***

Record 2
Be4Re5: optimized geometry, PBE.

## Properties
Formation enthalpy at 0 K (eV per atom): 0.00
Total moment (Bohr magnetons per cell): 0.0
DOS(E_F) (states/eV/f.u.): 6.8

a b c (Å): 7.0490 7.0490 4.9425
angles (deg): 90.00 90.00 120.00
Closest atoms and distances in Å follow each position.
Fractional coordinates of all 18 atoms:
Be 0.0000 0.0000 0.0000  6 Re 2.27, 2 Be 2.47
Be 0.0000 0.0000 0.5000  6 Re 2.27, 2 Be 2.47
Be 0.0000 0.3918 0.2500  9 Re 2.38-2.61
Be 0.0000 0.6082 0.7500  9 Re 2.38-2.61
Be 0.3918 0.0000 0.2500  9 Re 2.38-2.61
Be 0.3918 0.3918 0.7500  9 Re 2.38-2.61
Be 0.6082 0.0000 0.7500  9 Re 2.38-2.61
Be 0.6082 0.6082 0.2500  9 Re 2.38-2.61
Re 0.0000 0.2706 0.7500  5 Be 2.27-2.45
Re 0.0000 0.7294 0.2500  5 Be 2.27-2.45
Re 0.2706 0.0000 0.7500  5 Be 2.27-2.45
Re 0.2706 0.2706 0.2500  5 Be 2.27-2.45
Re 0.3333 0.6667 0.0000  2 Re 2.47, 6 Be 2.50
Re 0.3333 0.6667 0.5000  2 Re 2.47, 6 Be 2.50
Re 0.6667 0.3333 0.0000  2 Re 2.47, 6 Be 2.50
Re 0.6667 0.3333 0.5000  2 Re 2.47, 6 Be 2.50
Re 0.7294 0.0000 0.2500  5 Be 2.27-2.45
Re 0.7294 0.7294 0.7500  5 Be 2.27-2.45

***

Record 3
KCd4: optimized geometry, PBE.

## Properties
Formation enthalpy at 0 K (eV per atom): -0.07
Total moment (Bohr magnetons per cell): 0.0
DOS(E_F) (states/eV/f.u.): 2.3

a b c (Å): 7.2796 7.2796 7.2796
angles (deg): 141.65 141.65 55.35
Closest atoms and distances in Å follow each position.
Fractional coordinates of all 5 atoms:
K 0.0000 0.0000 0.0000  16 Cd 3.67-4.01
Cd 0.2500 0.7500 0.5000  4 Cd 2.98
Cd 0.3884 0.3884 0.0000  5 Cd 2.88-2.98
Cd 0.6116 0.6116 0.0000  5 Cd 2.88-2.98
Cd 0.7500 0.2500 0.5000  4 Cd 2.98

***

Record 4
Cs3NaAg2Cl6: optimized geometry, PBE.

## Properties
Total moment (Bohr magnetons per cell): 0.0
DOS(E_F) (states/eV/f.u.): 0.0
Formation energy from raw total energies (eV per atom): -1.3736

a b c (Å): 7.9987 7.9987 8.9824
angles (deg): 90.00 90.00 120.00
Closest atoms and distances in Å follow each position.
Fractional coordinates of all 12 atoms:
Cs 0.0000 0.0000 0.0000  6 Cl 3.44
Cs 0.3333 0.6667 0.6531  1 Ag 3.55
Cs 0.6667 0.3333 0.3469  1 Ag 3.55
Na 0.0000 0.0000 0.5000  6 Cl 2.83
Ag 0.3333 0.6667 0.2576  3 Cl 2.47
Ag 0.6667 0.3333 0.7424  3 Cl 2.47
Cl 0.1567 0.3135 0.2975  1 Ag 2.47
Cl 0.1567 0.8433 0.2975  1 Ag 2.47
Cl 0.3135 0.1567 0.7025  1 Ag 2.47
Cl 0.6865 0.8433 0.2975  1 Ag 2.47
Cl 0.8433 0.1567 0.7025  1 Ag 2.47
Cl 0.8433 0.6865 0.7025  1 Ag 2.47

***

Record 5
AcSmIr: optimized geometry, PBE.

## Properties
Formation enthalpy at 0 K (eV per atom): -0.39
Total moment (Bohr magnetons per cell): 0.0
DOS(E_F) (states/eV/f.u.): 3.0

a b c (Å): 7.2807 7.2807 7.2807
angles (deg): 150.80 150.80 41.77
Closest atoms and distances in Å follow each position.
Fractional coordinates of all 3 atoms:
Ac 0.0000 0.0000 0.0000  4 Ir 3.18, 1 Sm 3.36
Sm 0.2473 0.2473 0.0000  4 Ir 3.01, 1 Ac 3.36
Ir 0.6350 0.6350 0.0000  4 Sm 3.01, 4 Ac 3.18

***

Record 6
Mg3OsBr: optimized geometry, PBE.

## Properties
Total moment (Bohr magnetons per cell): 0.0
DOS(E_F) (states/eV/f.u.): 4.2
Formation energy from raw total energies (eV per atom): 0.4382

a b c (Å): 5.0576 5.0576 5.0576
angles (deg): 90.00 90.00 90.00
Closest atoms and distances in Å follow each position.
Fractional coordinates of all 5 atoms:
Mg 0.0000 0.0000 0.5000  2 Os 2.53
Mg 0.0000 0.5000 0.0000  2 Os 2.53
Mg 0.5000 0.0000 0.0000  2 Os 2.53
Os 0.0000 0.0000 0.0000  6 Mg 2.53
Br 0.5000 0.5000 0.5000  12 Mg 3.58

***

Record 7
ZnRe2Br: optimized geometry, PBE.

## Properties
Total moment (Bohr magnetons per cell): 0.0
DOS(E_F) (states/eV/f.u.): 3.4
Formation energy from raw total energies (eV per atom): 0.6437

a b c (Å): 2.8038 2.8038 10.3426
angles (deg): 90.00 90.00 117.99
Closest atoms and distances in Å follow each position.
Fractional coordinates of all 4 atoms:
Zn 0.0000 0.0000 0.0000  2 Re 2.75, 6 Zn 2.80-2.89
Re 0.0000 0.0000 0.4316  6 Re 2.56-2.80
Re 0.5000 0.5000 0.2267  6 Re 2.56-2.80, 2 Zn 2.75
Br 0.5000 0.5000 0.6906  6 Br 2.80-2.89, 2 Re 3.04

***

Record 8
Li2ReAgF8: optimized geometry, PBE.

## Properties
Total moment (Bohr magnetons per cell): 2.0
DOS(E_F) (states/eV/f.u.): 9.8
Formation energy from raw total energies (eV per atom): -2.1694

a b c (Å): 4.7218 4.7218 7.4294
angles (deg): 90.07 90.07 84.03
Closest atoms and distances in Å follow each position.
Fractional coordinates of all 12 atoms:
Li 0.0003 0.0003 0.1845  4 F 1.91-2.05
Li 0.9997 0.9997 0.8155  4 F 1.91-2.05
Re 0.5000 0.5000 0.5000  6 F 1.90-1.94
Ag 0.5000 0.5000 0.0000  2 F 2.18
F 0.1886 0.1886 0.0001  2 Li 1.91
F 0.2287 0.2287 0.4996  1 Re 1.90
F 0.2899 0.7099 0.3088  1 Re 1.94, 1 Li 2.05
F 0.2901 0.7101 0.6912  1 Re 1.94, 1 Li 2.05
F 0.7099 0.2899 0.3088  1 Re 1.94, 1 Li 2.05
F 0.7101 0.2901 0.6912  1 Re 1.94, 1 Li 2.05
F 0.7713 0.7713 0.5004  1 Re 1.90
F 0.8114 0.8114 0.9999  2 Li 1.91

***

Record 9
TcIF2: optimized geometry, PBE.

## Properties
Total moment (Bohr magnetons per cell): 0.0
DOS(E_F) (states/eV/f.u.): 3.7
Formation energy from raw total energies (eV per atom): -0.6954

a b c (Å): 10.4349 10.4349 10.4349
angles (deg): 16.58 16.58 16.58
Closest atoms and distances in Å follow each position.
Fractional coordinates of all 4 atoms:
Tc 0.0000 0.0000 0.0000  2 F 1.87
I 0.5000 0.5000 0.5000  6 I 3.01
F 0.0607 0.0607 0.0607  1 Tc 1.87
F 0.9393 0.9393 0.9393  1 Tc 1.87

***

Record 10
SrMgRh2: optimized geometry, PBE.

## Properties
Formation enthalpy at 0 K (eV per atom): -0.09
Total moment (Bohr magnetons per cell): 0.0
DOS(E_F) (states/eV/f.u.): 2.4

a b c (Å): 4.6560 4.6560 6.0438
angles (deg): 102.89 102.89 41.22
Closest atoms and distances in Å follow each position.
Fractional coordinates of all 4 atoms:
Sr 0.0000 0.0000 0.0000  6 Rh 3.11-3.20, 2 Sr 3.28, 4 Mg 3.44
Mg 0.5000 0.5000 0.5000  6 Rh 2.65-2.71
Rh 0.2384 0.2384 0.6699  3 Mg 2.65-2.71, 2 Rh 2.67
Rh 0.7616 0.7616 0.3301  3 Mg 2.65-2.71, 2 Rh 2.67

***

Record 11
SrBi3Rh: optimized geometry, PBE.

## Properties
Formation enthalpy at 0 K (eV per atom): -0.41
Total moment (Bohr magnetons per cell): 0.0
DOS(E_F) (states/eV/f.u.): 3.1

a b c (Å): 7.1419 6.3762 6.5370
angles (deg): 90.00 90.00 90.00
Closest atoms and distances in Å follow each position.
Fractional coordinates of all 10 atoms:
Sr 0.0000 0.1481 0.0000  1 Rh 3.28, 7 Bi 3.40-3.59
Sr 0.5000 0.8519 0.5000  1 Rh 3.28, 7 Bi 3.40-3.59
Bi 0.0000 0.8858 0.5463  1 Rh 2.69
Bi 0.2456 0.3312 0.4453  2 Rh 2.72-2.76
Bi 0.2544 0.6688 0.9453  2 Rh 2.72-2.76
Bi 0.5000 0.1142 0.0463  1 Rh 2.69
Bi 0.7456 0.6688 0.9453  2 Rh 2.72-2.76
Bi 0.7544 0.3312 0.4453  2 Rh 2.72-2.76
Rh 0.0000 0.5958 0.2477  5 Bi 2.69-2.76
Rh 0.5000 0.4042 0.7477  5 Bi 2.69-2.76

***

Record 12
NdDyRuAu: optimized geometry, PBE.

## Properties
Formation enthalpy at 0 K (eV per atom): -0.49
Total moment (Bohr magnetons per cell): 0.0
DOS(E_F) (states/eV/f.u.): 3.2

a b c (Å): 5.0357 5.0357 5.0357
angles (deg): 60.00 60.00 60.00
Closest atoms and distances in Å follow each position.
Fractional coordinates of all 4 atoms:
Nd 0.0000 0.0000 0.0000  4 Au 3.08, 4 Ru 3.08
Dy 0.5000 0.5000 0.5000  4 Ru 3.08, 4 Au 3.08
Ru 0.2500 0.2500 0.2500  4 Dy 3.08, 4 Nd 3.08
Au 0.7500 0.7500 0.7500  4 Dy 3.08, 4 Nd 3.08

***

Record 13
KSbIr2: optimized geometry, PBE.

## Properties
Total moment (Bohr magnetons per cell): 0.0
DOS(E_F) (states/eV/f.u.): 3.9
Formation energy from raw total energies (eV per atom): 0.8023

a b c (Å): 5.7949 5.7949 2.8637
angles (deg): 104.24 104.24 115.70
Closest atoms and distances in Å follow each position.
Fractional coordinates of all 4 atoms:
K 0.0000 0.0000 0.0000  2 K 2.86, 4 Ir 2.90, 4 Sb 3.08-3.09
Sb 0.5000 0.5000 0.0000  2 Sb 2.86, 4 Ir 2.90, 4 K 3.08-3.09
Ir 0.0000 0.5000 0.0000  6 Ir 2.86-3.09, 2 K 2.90, 2 Sb 2.90
Ir 0.5000 0.0000 0.0000  6 Ir 2.86-3.09, 2 Sb 2.90, 2 K 2.90

***

Record 14
Nd6Dy2Tm: optimized geometry, PBE.

## Properties
Formation enthalpy at 0 K (eV per atom): 0.13
Total moment (Bohr magnetons per cell): 0.0
DOS(E_F) (states/eV/f.u.): 11.9

a b c (Å): 10.0393 10.0393 3.6634
angles (deg): 90.00 90.00 123.97
Closest atoms and distances in Å follow each position.
Fractional coordinates of all 9 atoms:
Nd 0.0099 0.3405 0.0000  6 Nd 3.30-3.66, 2 Dy 3.57
Nd 0.1853 0.1853 0.5000  7 Nd 3.46-3.66, 2 Tm 3.49
Nd 0.3405 0.0099 0.0000  6 Nd 3.30-3.66, 2 Dy 3.57
Nd 0.6595 0.9901 0.0000  6 Nd 3.30-3.66, 2 Dy 3.57
Nd 0.8147 0.8147 0.5000  7 Nd 3.46-3.66, 2 Tm 3.49
Nd 0.9901 0.6595 0.0000  6 Nd 3.30-3.66, 2 Dy 3.57
Dy 0.3249 0.6751 0.5000  8 Nd 3.57-3.75, 2 Tm 3.60, 2 Dy 3.66
Dy 0.6751 0.3249 0.5000  8 Nd 3.57-3.75, 2 Tm 3.60, 2 Dy 3.66
Tm 0.5000 0.5000 0.0000  4 Nd 3.49, 4 Dy 3.60, 2 Tm 3.66

***

Record 15
KFe2Ni: optimized geometry, PBE.

## Properties
Formation enthalpy at 0 K (eV per atom): 1.23
Total moment (Bohr magnetons per cell): 5.9
DOS(E_F) (states/eV/f.u.): 5.5

a b c (Å): 4.5114 4.5114 4.5114
angles (deg): 60.00 60.00 60.00
Closest atoms and distances in Å follow each position.
Fractional coordinates of all 4 atoms:
K 0.0000 0.0000 0.0000  4 Fe 2.76, 4 Ni 2.76
Fe 0.2500 0.2500 0.2500  4 Fe 2.76, 4 K 2.76
Fe 0.5000 0.5000 0.5000  4 Ni 2.76, 4 Fe 2.76
Ni 0.7500 0.7500 0.7500  4 Fe 2.76, 4 K 2.76

***

Record 16
RbNa2BeF6: optimized geometry, PBE.

## Properties
Total moment (Bohr magnetons per cell): 2.4
Formation energy from raw total energies (eV per atom): -2.6502

a b c (Å): 8.0217 8.0217 6.6976
angles (deg): 105.62 105.62 103.67
Closest atoms and distances in Å follow each position.
Fractional coordinates of all 20 atoms:
Rb 0.1096 0.8904 0.7500  6 F 2.80-2.89
Rb 0.8904 0.1096 0.2500  6 F 2.80-2.89
Na 0.2604 0.4711 0.9143  5 F 2.18-2.42
Na 0.4711 0.2604 0.4143  5 F 2.18-2.42
Na 0.5289 0.7396 0.5857  5 F 2.18-2.42
Na 0.7396 0.5289 0.0857  5 F 2.18-2.42
Be 0.1648 0.8352 0.2500  4 F 1.56-1.58
Be 0.8352 0.1648 0.7500  4 F 1.56-1.58
F 0.0304 0.2112 0.7265  1 Be 1.58
F 0.1598 0.6930 0.0356  1 Be 1.56
F 0.2112 0.0304 0.2265  1 Be 1.58
F 0.3070 0.8402 0.4644  1 Be 1.56
F 0.3516 0.4599 0.6086  1 F 2.00
F 0.4599 0.3516 0.1086  1 F 2.00
F 0.5401 0.6484 0.8914  1 F 2.00
F 0.6484 0.5401 0.3914  1 F 2.00
F 0.6930 0.1598 0.5356  1 Be 1.56
F 0.7888 0.9696 0.7735  1 Be 1.58
F 0.8402 0.3070 0.9644  1 Be 1.56
F 0.9696 0.7888 0.2735  1 Be 1.58

***

Record 17
Ga3NiRu: optimized geometry, PBE.

## Properties
Formation enthalpy at 0 K (eV per atom): 0.45
Total moment (Bohr magnetons per cell): 1.6
DOS(E_F) (states/eV/f.u.): 4.9

a b c (Å): 4.4375 4.4375 4.4375
angles (deg): 90.00 90.00 90.00
Closest atoms and distances in Å follow each position.
Fractional coordinates of all 5 atoms:
Ga 0.0000 0.0000 0.5000  2 Ni 2.22
Ga 0.0000 0.5000 0.0000  2 Ni 2.22
Ga 0.5000 0.0000 0.0000  2 Ni 2.22
Ni 0.0000 0.0000 0.0000  6 Ga 2.22
Ru 0.5000 0.5000 0.5000  12 Ga 3.14

***

Record 18
KCaAs2: optimized geometry, PBE.

## Properties
Formation enthalpy at 0 K (eV per atom): -0.73
Total moment (Bohr magnetons per cell): 0.0
DOS(E_F) (states/eV/f.u.): 1.5

a b c (Å): 3.9143 4.1066 7.0609
angles (deg): 90.00 90.00 90.00
Closest atoms and distances in Å follow each position.
Fractional coordinates of all 4 atoms:
K 0.0000 0.0000 0.0000  2 Ca 3.53, 8 As 3.66, 2 K 3.91
Ca 0.0000 0.0000 0.5000  8 As 3.09
As 0.5000 0.5000 0.3266  1 As 2.45
As 0.5000 0.5000 0.6734  1 As 2.45

***

Record 19
NdScTe: optimized geometry, PBE.

## Properties
Total moment (Bohr magnetons per cell): 1.4
DOS(E_F) (states/eV/f.u.): 3.8
Formation energy from raw total energies (eV per atom): -0.5545

a b c (Å): 4.9928 4.9928 3.9521
angles (deg): 90.00 90.00 120.00
Closest atoms and distances in Å follow each position.
Fractional coordinates of all 3 atoms:
Nd 0.0000 0.0000 0.0000  6 Sc 3.49, 6 Te 3.49
Sc 0.3333 0.6667 0.5000  3 Te 2.88
Te 0.6667 0.3333 0.5000  3 Sc 2.88

***

Record 20
Ce2NiGe3Ir4: optimized geometry, PBE.

## Properties
Formation enthalpy at 0 K (eV per atom): -0.69
Total moment (Bohr magnetons per cell): 0.7
DOS(E_F) (states/eV/f.u.): 10.3

a b c (Å): 4.1550 4.1550 10.4441
angles (deg): 90.00 90.00 90.00
Closest atoms and distances in Å follow each position.
Fractional coordinates of all 10 atoms:
Ce 0.0000 0.5000 0.2410  8 Ir 3.14-3.41, 6 Ge 3.23-3.26, 2 Ni 3.26
Ce 0.5000 0.0000 0.7590  8 Ir 3.14-3.41, 6 Ge 3.23-3.26, 2 Ni 3.26
Ni 0.5000 0.5000 0.0000  4 Ir 2.51
Ge 0.0000 0.0000 0.0000  4 Ir 2.51
Ge 0.0000 0.5000 0.6309  5 Ir 2.44-2.49
Ge 0.5000 0.0000 0.3691  5 Ir 2.44-2.49
Ir 0.0000 0.0000 0.5000  4 Ge 2.49
Ir 0.0000 0.5000 0.8646  3 Ge 2.44-2.51, 2 Ni 2.51
Ir 0.5000 0.0000 0.1354  3 Ge 2.44-2.51, 2 Ni 2.51
Ir 0.5000 0.5000 0.5000  4 Ge 2.49